DFT (meta-GGA SCAN) results for a crystal of CuPdPb2F relaxed with PBEsol.

The value obtained for the size of the total moment is 0.00 μB per formula unit. The density of states at the Fermi level comes out at 0.434 states/eV/atom. The value obtained for the calculated volume is 116.37 Å³/cell. The calculation puts the total energy at -40.559 eV/atom. As for the uncorrected formation energy: 56 meV/atom.

It has space group P4/mmm (No. 123), with a = 5.036 Å, b = 5.036 Å, c = 4.588 Å, α = 90.00°, β = 90.00° and γ = 90.00°. The asymmetric unit holds Cu at (0.000, 0.000, 0.000), Pd at (0.000, 0.000, 0.500), Pb at (0.000, 0.500, 0.000) and F at (0.500, 0.500, 0.500).

DFT (meta-GGA SCAN) results for a crystal of B3SbBr relaxed with PBEsol.

The value obtained for the size of the total moment is 0.00 μB per formula unit. The density of states at the Fermi level comes out at 0.283 states/eV/atom. The value obtained for the calculated volume is 95.28 Å³/cell. The calculation puts the total energy at -13.698 eV/atom. As for the uncorrected formation energy: 2104 meV/atom.

It has space group Pm-3m (No. 221), with a = 4.567 Å, b = 4.567 Å, c = 4.567 Å, α = 90.00°, β = 90.00° and γ = 90.00°. The asymmetric unit holds B at (0.000, 0.000, 0.500), Sb at (0.000, 0.000, 0.000) and Br at (0.500, 0.500, 0.500).

DFT (meta-GGA SCAN) results for a crystal of NaMgP2S relaxed with PBEsol.

The value obtained for the size of the total moment is 0.00 μB per formula unit. The density of states at the Fermi level comes out at 0.764 states/eV/atom. The value obtained for the calculated volume is 112.54 Å³/cell. The calculation puts the total energy at -7.622 eV/atom. As for the uncorrected formation energy: 301 meV/atom.

It has space group P4/mmm (No. 123), with a = 4.802 Å, b = 4.802 Å, c = 4.881 Å, α = 90.00°, β = 90.00° and γ = 90.00°. The asymmetric unit holds Na at (0.000, 0.000, 0.000), Mg at (0.500, 0.500, 0.500), P at (0.000, 0.500, 0.500) and S at (0.500, 0.500, 0.000).